No. 1
Here is an optimized crystal structure of TbAgPd4 from the Alexandria database. Energies are from GGA-PBE.

The structure in extended XYZ format:
```
12
Lattice="-0.195 3.723 2.006 -4.514 -4.682 3.783 11.307 1.845 -2.324" Properties=species:S:1:pos:R:3 pbc="T T T"
Tb 2.778 1.392 -0.080
Tb 8.334 4.176 -0.239
Ag -2.354 -0.479 2.894
Ag 3.396 -1.419 0.729
Pd -0.516 1.698 3.499
Pd 1.363 0.127 2.131
Pd 7.114 -0.812 -0.034
Pd 5.234 0.759 1.334
Pd 2.020 -2.677 2.931
Pd 10.328 2.623 -1.631
Pd 4.578 3.563 0.534
Pd -3.731 -1.737 5.096
```

Total magnetization, μB per formula unit: 0.0
Space group: No. 12
Crystal system: monoclinic
Energy relative to the lowest polymorph listed for this composition, meV/atom: 42



No. 2
Here is an optimized crystal structure of TbAgPd from the Alexandria database. Energies are from GGA-PBE.

The structure in extended XYZ format:
```
3
Lattice="4.658 0.000 0.000 2.329 4.034 0.000 2.329 1.345 3.803" Properties=species:S:1:pos:R:3 pbc="T T T"
Tb 4.658 2.689 1.902
Pd 2.329 1.345 0.951
Ag 0.000 0.000 0.000
```

Total magnetization, μB per formula unit: 0.0
Space group: No. 216
Crystal system: cubic
Energy relative to the lowest polymorph listed for this composition, meV/atom: 117



No. 3
Here is an optimized crystal structure of TbAgPd3 from the Alexandria database. Energies are from GGA-PBE.

The structure in extended XYZ format:
```
10
Lattice="-2.427 -3.200 -2.078 -1.936 -1.919 5.217 -5.628 4.540 -0.419" Properties=species:S:1:pos:R:3 pbc="T T T"
Tb -2.186 -0.816 -1.111
Tb -5.624 2.796 2.262
Ag -3.101 2.501 -0.231
Ag -4.709 -0.521 1.382
Pd -2.787 -0.276 3.681
Pd -6.958 0.337 2.687
Pd -5.894 1.392 -0.179
Pd -1.915 0.588 1.331
Pd -5.192 4.188 -0.386
Pd -2.617 -2.208 1.537
```

Total magnetization, μB per formula unit: 0.0
Space group: No. 59
Crystal system: orthorhombic
Energy relative to the lowest polymorph listed for this composition, meV/atom: 0



No. 4
Here is an optimized crystal structure of TbAg3Pd from the Alexandria database. Energies are from GGA-PBE.

The structure in extended XYZ format:
```
10
Lattice="5.227 0.000 0.000 0.000 5.227 0.000 -2.614 -2.614 9.281" Properties=species:S:1:pos:R:3 pbc="T T T"
Tb 2.614 0.000 1.073
Tb 2.614 0.000 8.208
Ag 1.298 2.614 6.942
Ag 0.000 3.912 2.339
Ag 0.000 1.316 2.339
Ag -1.298 2.614 6.942
Ag 0.000 0.000 5.994
Ag 2.614 2.614 3.287
Pd 0.000 0.000 0.000
Pd 0.000 2.614 4.641
```

Total magnetization, μB per formula unit: 0.0
Space group: No. 119
Crystal system: tetragonal
E, eV/atom: -3.6243